Record 1
Below is a geometry-optimized Na2Fe2Pb structure, with properties calculated at the GGA-PBEsol level.

The structure in extended XYZ format:
```
5
Lattice="3.8937 0.0000 0.0000 0.0000 3.8937 0.0000 -1.9469 -1.9469 6.8558" Properties=species:S:1:pos:R:3 pbc="T T T"
Na 1.9469 0.0000 3.4279
Na 0.0000 1.9469 3.4279
Pb 0.0000 0.0000 0.0000
Fe 1.9469 1.9469 1.0598
Fe 0.0000 0.0000 5.7960
```

Computed properties:
Space group ... I4/mmm
Calculated volume ... 20.8 A^3/atom

Record 2
Below is a geometry-optimized NaFePt3 structure, with properties calculated at the GGA-PBEsol level.

The structure in extended XYZ format:
```
5
Lattice="-2.4508 -3.6963 0.5533 3.0417 -1.5882 2.8637 -2.1717 1.9469 3.3865" Properties=species:S:1:pos:R:3 pbc="T T T"
Pt -1.0859 0.9735 1.6932
Pt 1.5209 -0.7941 1.4318
Pt -1.2254 -1.8481 0.2766
Fe -0.7904 -1.6688 3.4017
Na 0.0000 0.0000 0.0000
```

Computed properties:
Space group ... Pm-3m
Calculated volume ... 17.9 A^3/atom

Record 3
Below is a geometry-optimized RbNa2FePt structure, with properties calculated at the GGA-PBEsol level.

The structure in extended XYZ format:
```
5
Lattice="4.7638 0.0000 0.0000 0.0000 5.0490 0.0000 0.0000 0.0000 5.0490" Properties=species:S:1:pos:R:3 pbc="T T T"
Pt 2.3819 2.5245 2.5245
Na 0.0000 2.5245 0.0000
Na 0.0000 0.0000 2.5245
Rb 0.0000 0.0000 0.0000
Fe 2.3819 0.0000 0.0000
```

Computed properties:
Space group ... P4/mmm
Calculated volume ... 24.3 A^3/atom

| no. | calculated density (g/cm³) | M_tot (μB/cell) | electronic total energy (eV/atom) |
| --- | --- | --- | --- |
| 1 | 5.83 | 5.62 | -4.1360 |
| 2 | 12.35 | 4.27 | -4.4825 |
| 3 | 5.23 | 2.43 | -2.2761 |